Below is crystalline Pm4ZnNi3 at its relaxed geometry, with properties calculated at the GGA-PBE level.

Computed properties:
The density of states at the Fermi level is 0.823 states/eV per atom. The calculated formation energy is -2.61 eV per formula unit.

Cell and atoms, written as POSCAR:
```
Pm4ZnNi3
1.0
3.841 0.000 0.000
0.000 4.401 0.000
0.000 0.000 10.656
Pm Zn Ni
4 1 3
direct
0.000 0.000 0.000
0.000 0.500 0.264
0.500 0.000 0.478
0.500 0.500 0.772
0.000 0.000 0.696
0.000 0.500 0.563
0.500 0.000 0.201
0.500 0.500 0.064
```

=====

Below is crystalline SrBi2Pd3 at its relaxed geometry, with properties calculated at the GGA-PBE level.

Computed properties:
The density of states at the Fermi level is 0.405 states/eV per atom. As for the relative energy among the computed polymorphs: 0.0 meV/atom. The calculated formation energy is -3.17 eV per formula unit.

Cell and atoms, written as POSCAR:
```
SrBi2Pd3
1.0
8.709 -2.445 0.000
8.709 2.445 0.000
-1.020 0.000 6.583
Sr Bi Pd
2 4 6
direct
0.119 0.119 0.155
0.881 0.881 0.845
0.228 0.228 0.695
0.482 0.482 0.242
0.518 0.518 0.758
0.772 0.772 0.305
0.068 0.068 0.638
0.296 0.296 0.097
0.366 0.366 0.507
0.634 0.634 0.493
0.704 0.704 0.903
0.932 0.932 0.362
```

=====

no.,total moment (Bohr magnetons per cell)
1,0.000
2,0.000